10
Lattice="-4.7082 2.4121 2.5211 -2.5055 -5.2841 0.3764 -1.8901 -1.9845 5.1802" Properties=species:S:1:pos:R:3 comment="K2TeWO6, optimized geometry, DFT PBE with a Hubbard U" total_magnetization_mub_per_atom=0.000 final_energy_ev_per_atom=-5.8963 pbc="T T T"
K -5.1026 -0.5042 4.5749
K -4.0011 -4.3524 3.5028
Te -3.6068 -1.4360 1.4488
W 0.0000 0.0000 0.0000
O -2.7020 -1.7253 3.4160
O -7.3988 -4.1769 7.3927
O -3.0268 -3.4651 0.8837
O -6.0769 -1.3915 7.1940
O -1.7050 -0.6797 0.6850
O -6.4017 -3.1313 4.6617